This record from the Alexandria database describes Cs2KHgI after structural relaxation. The functional is PBE.

Uncorrected formation energy   -2.67 eV per formula unit
ΔE to the lowest computed polymorph   0 meV/atom
V   76.80 Å³ per atom
Total moment   0.00 μB per cell
Crystal system   tetragonal

abc: 7.5184 7.5184 6.7931
angles: 90.00 90.00 90.00
Space group P4/mmm (No. 123)
Unique sites:
Cs 0.0000 0.5000 0.0000 (multiplicity 2)
K 0.0000 0.0000 0.5000 (multiplicity 1)
Hg 0.5000 0.5000 0.5000 (multiplicity 1)
I 0.0000 0.0000 0.0000 (multiplicity 1)